Record 1
! Ca2VPd, optimized geometry, DFT PBE; values from VASP
! Space group ... Fm-3m (225)
! Offset from the most stable computed form ... 0.000 eV/f.u.
! Magnetization ... 4.7 μB per cell
! Uncorrected energy ... -4.45 eV per atom
&SYSTEM
  ibrav = 0, nat = 4, ntyp = 3
/
ATOMIC_SPECIES
Ca 40.08 Ca.upf
V 50.94 V.upf
Pd 106.42 Pd.upf
ATOMIC_POSITIONS angstrom
Ca 1.8102 1.8102 1.8102
Ca 5.4306 5.4306 5.4306
V 0.0000 0.0000 0.0000
Pd 3.6204 3.6204 3.6204
CELL_PARAMETERS angstrom
0.0000 3.6204 3.6204
3.6204 0.0000 3.6204
3.6204 3.6204 0.0000

***

Record 2
! CaVPd, optimized geometry, DFT PBE; values from VASP
! Space group ... P-1 (2)
! Offset from the most stable computed form ... 0.140 eV/f.u.
! Magnetization ... 0.0 μB per cell
! Uncorrected energy ... -5.51 eV per atom
&SYSTEM
  ibrav = 0, nat = 6, ntyp = 3
/
ATOMIC_SPECIES
Ca 40.08 Ca.upf
V 50.94 V.upf
Pd 106.42 Pd.upf
ATOMIC_POSITIONS angstrom
Ca 1.2910 2.0247 2.2970
Ca 3.7745 4.7164 3.2223
V 1.2561 4.7693 0.0575
V 3.8093 1.9717 5.4618
Pd 1.5939 3.4283 4.9016
Pd 3.4716 3.3127 0.6177
CELL_PARAMETERS angstrom
4.3603 0.0000 0.0000
0.4775 5.3304 0.0000
0.2277 1.4106 5.5193

***

Record 3
! CaVPd, optimized geometry, DFT PBE; values from VASP
! Space group ... C2/m (12)
! Offset from the most stable computed form ... 0.443 eV/f.u.
! Magnetization ... 0.0 μB per cell
! Uncorrected energy ... -5.41 eV per atom
&SYSTEM
  ibrav = 0, nat = 6, ntyp = 3
/
ATOMIC_SPECIES
Ca 40.08 Ca.upf
V 50.94 V.upf
Pd 106.42 Pd.upf
ATOMIC_POSITIONS angstrom
Ca 2.2150 4.8509 0.0000
Ca 2.2150 -4.8509 0.0000
V 1.0799 0.0000 2.7114
V 2.5260 0.0000 1.5412
Pd 1.8030 2.5455 2.1263
Pd 1.8030 -2.5455 2.1263
CELL_PARAMETERS angstrom
2.2150 -6.7906 0.0000
2.2150 6.7906 0.0000
-0.8240 0.0000 4.2525

***

Record 4
! CaVPd, optimized geometry, DFT PBE; values from VASP
! Space group ... I4mm (107)
! Offset from the most stable computed form ... 0.621 eV/f.u.
! Magnetization ... 2.7 μB per cell
! Uncorrected energy ... -5.35 eV per atom
&SYSTEM
  ibrav = 0, nat = 3, ntyp = 3
/
ATOMIC_SPECIES
Ca 40.08 Ca.upf
V 50.94 V.upf
Pd 106.42 Pd.upf
ATOMIC_POSITIONS angstrom
Ca 0.0000 0.0000 0.0000
V 0.0000 0.0000 8.0591
Pd 0.0000 0.0000 3.5577
CELL_PARAMETERS angstrom
-1.6641 1.6641 5.6610
1.6641 -1.6641 5.6610
1.6641 1.6641 -5.6610

***

Record 5
! CaV3Pd, optimized geometry, DFT PBE; values from VASP
! Space group ... Pm-3m (221)
! Offset from the most stable computed form ... 5.471 eV/f.u.
! Magnetization ... 4.2 μB per cell
! Uncorrected energy ... -4.83 eV per atom
&SYSTEM
  ibrav = 0, nat = 5, ntyp = 3
/
ATOMIC_SPECIES
Ca 40.08 Ca.upf
V 50.94 V.upf
Pd 106.42 Pd.upf
ATOMIC_POSITIONS angstrom
Ca 0.0000 0.0000 0.0000
V 0.0000 0.0000 2.2008
V 0.0000 2.2008 0.0000
V 2.2008 0.0000 0.0000
Pd 2.2008 2.2008 2.2008
CELL_PARAMETERS angstrom
4.4017 0.0000 0.0000
0.0000 4.4017 0.0000
0.0000 0.0000 4.4017

***

Record 6
! CaVPd2, optimized geometry, DFT PBE; values from VASP
! Space group ... Fm-3m (225)
! Offset from the most stable computed form ... 0.000 eV/f.u.
! Magnetization ... 2.8 μB per cell
! Uncorrected energy ... -5.53 eV per atom
&SYSTEM
  ibrav = 0, nat = 4, ntyp = 3
/
ATOMIC_SPECIES
Ca 40.08 Ca.upf
V 50.94 V.upf
Pd 106.42 Pd.upf
ATOMIC_POSITIONS angstrom
Ca 0.0000 0.0000 0.0000
V 3.3201 3.3201 3.3201
Pd 1.6600 1.6600 1.6600
Pd 4.9801 4.9801 4.9801
CELL_PARAMETERS angstrom
0.0000 3.3201 3.3201
3.3201 0.0000 3.3201
3.3201 3.3201 0.0000